A geometry-optimized Sc2Fe2C structure. Source: Alexandria via LeMat-Bulk, functional GGA-PBE.

```
data_Sc2Fe2C
_chemical_formula_sum 'Sc4 Fe4 C2'
_space_group_name_H-M_alt 'P 1'
_space_group_IT_number 1
_space_group_name_Hall 'P 1'
_cell_length_a 6.120
_cell_length_b 6.120
_cell_length_c 4.387
_cell_angle_alpha 90.00
_cell_angle_beta 90.00
_cell_angle_gamma 90.00
loop_
_atom_site_label
_atom_site_type_symbol
_atom_site_fract_x
_atom_site_fract_y
_atom_site_fract_z
_atom_site_occupancy
Sc1 Sc 0.324 0.824 0.000 1
Sc2 Sc 0.824 0.676 0.000 1
Sc3 Sc 0.676 0.176 0.000 1
Sc4 Sc 0.176 0.324 0.000 1
C1 C 0.000 0.000 0.000 1
C2 C 0.500 0.500 0.000 1
Fe1 Fe 0.127 0.627 0.500 1
Fe2 Fe 0.627 0.873 0.500 1
Fe3 Fe 0.873 0.373 0.500 1
Fe4 Fe 0.373 0.127 0.500 1
```

Values from the calculation:
Calculated volume (Å³ per atom): 16.43
Formation enthalpy at 0 K (eV/atom): 0.6054
Total energy (eV per atom): -7.16
Mass density (g/cm3): 4.32